Entry 1:
Density functional theory data (PBE) for crystalline Hg5N at its relaxed geometry.

a b c (Å): 5.564 5.564 5.846
angles (deg): 90.00 90.00 120.00
Fractional positions:
Hg: 0.000 0.500 0.000
Hg: 0.333 0.667 0.500
Hg: 0.500 0.000 0.000
Hg: 0.500 0.500 0.000
Hg: 0.667 0.333 0.500
N: 0.000 0.000 0.500

Output
Electronic total energy, eV per atom: -0.531



Entry 2:
Density functional theory data (PBE) for crystalline HfCoHgBi at its relaxed geometry.

a b c (Å): 4.872 4.872 4.872
angles (deg): 60.00 60.00 60.00
Fractional positions:
Hf: 0.000 0.000 0.000
Co: 0.750 0.750 0.750
Hg: 0.250 0.250 0.250
Bi: 0.500 0.500 0.500

Output
Electronic total energy, eV per atom: -5.040
ΔE to the lowest computed polymorph, eV per atom: 0.000



Entry 3:
Density functional theory data (PBE) for crystalline TlCo3Si5 at its relaxed geometry.

a b c (Å): 4.953 4.953 5.987
angles (deg): 90.00 90.00 120.00
Fractional positions:
Tl: 0.000 0.000 0.000
Co: 0.000 0.500 0.500
Co: 0.500 0.000 0.500
Co: 0.500 0.500 0.500
Si: 0.000 0.000 0.500
Si: 0.333 0.667 0.199
Si: 0.333 0.667 0.801
Si: 0.667 0.333 0.199
Si: 0.667 0.333 0.801

Output
Electronic total energy, eV per atom: -5.729



What did the first record say?
Density functional theory data (PBE) for crystalline Hg5N at its relaxed geometry.

a b c (Å): 5.564 5.564 5.846
angles (deg): 90.00 90.00 120.00
Fractional positions:
Hg: 0.000 0.500 0.000
Hg: 0.333 0.667 0.500
Hg: 0.500 0.000 0.000
Hg: 0.500 0.500 0.000
Hg: 0.667 0.333 0.500
N: 0.000 0.000 0.500

Output
Electronic total energy, eV per atom: -0.531